[1]
Computed, not measured: an optimized crystal structure of TiAlZn3 at the PBE level of DFT.

The structure in extended XYZ format:
```
5
Lattice="-1.703 -2.601 -3.938 4.709 -1.211 -1.237 -0.309 -4.116 2.852" Properties=species:S:1:pos:R:3 pbc="T T T"
Zn 2.354 -0.606 -0.618
Zn -0.155 -2.058 1.426
Zn -0.851 -1.300 -1.969
Al 1.348 -3.964 -1.161
Ti 0.000 0.000 0.000
```

Values from the calculation:
* E: -10.76 eV/f.u.
* polymorph energy (0 for the lowest one): 0.233 eV per atom
* crystal system: cubic

=====

[2]
Computed, not measured: an optimized crystal structure of CaSc2Ag at the PBE level of DFT.

The structure in extended XYZ format:
```
4
Lattice="3.417 0.000 0.000 0.000 3.440 0.007 0.000 3.417 8.744" Properties=species:S:1:pos:R:3 pbc="T T T"
Sc 0.000 3.439 0.322
Sc 1.708 1.714 2.449
Ca 1.708 5.144 6.249
Ag 0.000 3.430 4.115
```

Values from the calculation:
* E: -17.76 eV/f.u.
* polymorph energy (0 for the lowest one): 0.000 eV per atom
* crystal system: orthorhombic

=====

[3]
Computed, not measured: an optimized crystal structure of CaPuGa2 at the PBE level of DFT.

The structure in extended XYZ format:
```
4
Lattice="5.124 0.000 0.000 2.562 4.438 0.000 2.562 1.479 4.184" Properties=species:S:1:pos:R:3 pbc="T T T"
Ca 5.124 2.958 2.092
Ga 2.562 1.479 1.046
Ga 7.686 4.438 3.138
Pu 0.000 0.000 0.000
```

Values from the calculation:
* E: -23.67 eV/f.u.
* polymorph energy (0 for the lowest one): 0.013 eV per atom
* crystal system: cubic

=====

Number 1: formation enthalpy at 0 K 940 meV/atom. Number 2: formation enthalpy at 0 K -62 meV/atom. Number 3: formation enthalpy at 0 K -321 meV/atom.